1.
Material: NbAg2SnTe
Method: DFT, GGA-PBE
State: relaxed

Cell: 5.039 5.039 6.314 Å, 90.00 90.00 90.00°
Fractional coordinates of all 5 atoms:
Nb: 0.000 0.000 0.000
Ag: 0.000 0.500 0.500
Ag: 0.500 0.000 0.500
Sn: 0.500 0.500 0.000
Te: 0.500 0.500 0.500

Calculated values
Size of the total moment, μB/f.u.: 3.104
SG: P4/mmm, No. 123
Raw formation energy, eV per atom: 1.194



2.
Material: MgOs2I
Method: DFT, GGA-PBE
State: relaxed

Cell: 4.550 4.550 4.550 Å, 60.00 60.00 60.00°
Fractional coordinates of all 4 atoms:
Mg: 0.000 0.000 0.000
Os: 0.250 0.250 0.250
Os: 0.750 0.750 0.750
I: 0.500 0.500 0.500

Calculated values
E above lowest polymorph, eV per atom: 0.000
Size of the total moment, μB/f.u.: 0.000
SG: Fm-3m, No. 225
Raw formation energy, eV per atom: 1.047



3.
Material: Nd2CuSn3Pt4
Method: DFT, GGA-PBE
State: relaxed

Cell: 4.495 4.495 10.786 Å, 90.00 90.00 90.00°
Fractional coordinates of all 10 atoms:
Nd: 0.000 0.500 0.238
Nd: 0.500 0.000 0.762
Cu: 0.500 0.500 0.000
Sn: 0.000 0.000 0.000
Sn: 0.000 0.500 0.634
Sn: 0.500 0.000 0.366
Pt: 0.000 0.000 0.500
Pt: 0.000 0.500 0.873
Pt: 0.500 0.000 0.127
Pt: 0.500 0.500 0.500

Calculated values
Size of the total moment, μB/f.u.: 0.000
SG: P-4m2, No. 115
Formation energy, eV/atom: -0.759



4.
Material: NdGaNiRh3
Method: DFT, GGA-PBE
State: relaxed

Cell: 6.724 6.724 5.673 Å, 90.00 90.00 125.65°
Fractional coordinates of all 12 atoms:
Nd: 0.207 0.793 0.750
Nd: 0.793 0.207 0.250
Ga: 0.145 0.855 0.250
Ga: 0.855 0.145 0.750
Ni: 0.420 0.580 0.750
Ni: 0.580 0.420 0.250
Rh: 0.215 0.215 0.000
Rh: 0.215 0.215 0.500
Rh: 0.355 0.645 0.250
Rh: 0.645 0.355 0.750
Rh: 0.785 0.785 0.000
Rh: 0.785 0.785 0.500

Calculated values
Size of the total moment, μB/f.u.: 0.000
SG: Cmcm, No. 63
Formation energy, eV/atom: -0.271